# Nd2SmThSb4, relaxed, DFT GGA-PBE
# M_tot = 0.000 μB/atom
# density of states at the Fermi level = 1.75 states/eV per cell
# uncorrected formation energy = -1.14 eV/atom
data_Nd2SmThSb4
_space_group_name_H-M_alt 'P 1 2/m 1'
_space_group_IT_number 10
_cell_length_a 7.798
_cell_length_b 4.513
_cell_length_c 7.807
_cell_angle_alpha 90.00
_cell_angle_beta 109.46
_cell_angle_gamma 90.00
loop_
_space_group_symop_operation_xyz
'x,y,z'
'-x,-y,-z'
'-x,y,-z'
'x,-y,z'
loop_
_atom_site_label
_atom_site_fract_x
_atom_site_fract_y
_atom_site_fract_z
Nd1 0.000 0.000 0.000
Nd2 0.500 0.500 0.000
Sm1 0.000 0.500 0.500
Th1 0.500 0.000 0.500
Sb1 0.249 0.000 0.747
Sb2 0.250 0.500 0.252

# NdSm2ThSb4, relaxed, DFT GGA-PBE
# M_tot = 0.000 μB/atom
# density of states at the Fermi level = 1.80 states/eV per cell
# uncorrected formation energy = -1.13 eV/atom
data_NdSm2ThSb4
_space_group_name_H-M_alt 'P 1 2/m 1'
_space_group_IT_number 10
_cell_length_a 7.771
_cell_length_b 4.500
_cell_length_c 7.781
_cell_angle_alpha 90.00
_cell_angle_beta 109.47
_cell_angle_gamma 90.00
loop_
_space_group_symop_operation_xyz
'x,y,z'
'-x,-y,-z'
'-x,y,-z'
'x,-y,z'
loop_
_atom_site_label
_atom_site_fract_x
_atom_site_fract_y
_atom_site_fract_z
Nd1 0.000 0.000 0.000
Sm1 0.500 0.000 0.500
Sm2 0.500 0.500 0.000
Th1 0.000 0.500 0.500
Sb1 0.252 0.500 0.252
Sb2 0.253 0.000 0.750

# NdSm2Th3Sb6, relaxed, DFT GGA-PBE
# M_tot = 0.000 μB/atom
# density of states at the Fermi level = 12.33 states/eV per cell
# uncorrected formation energy = -1.06 eV/atom
data_NdSm2Th3Sb6
_space_group_name_H-M_alt 'C 1 2/m 1'
_space_group_IT_number 12
_cell_length_a 19.609
_cell_length_b 4.502
_cell_length_c 8.980
_cell_angle_alpha 90.00
_cell_angle_beta 103.17
_cell_angle_gamma 90.00
loop_
_space_group_symop_operation_xyz
'x,y,z'
'-x,-y,-z'
'-x,y,-z'
'x,-y,z'
'x+1/2,y+1/2,z'
'-x+1/2,-y+1/2,-z'
'-x+1/2,y+1/2,-z'
'x+1/2,-y+1/2,z'
loop_
_atom_site_label
_atom_site_fract_x
_atom_site_fract_y
_atom_site_fract_z
Nd1 0.000 0.000 0.000
Sm1 0.167 0.500 0.333
Th1 0.000 0.000 0.500
Th2 0.166 0.500 0.833
Sb1 0.001 0.500 0.251
Sb2 0.167 0.000 0.085
Sb3 0.167 0.000 0.582

# NdSm3Th2Sb6, relaxed, DFT GGA-PBE
# M_tot = 0.000 μB/atom
# density of states at the Fermi level = 9.54 states/eV per cell
# uncorrected formation energy = -1.10 eV/atom
data_NdSm3Th2Sb6
_space_group_name_H-M_alt 'C 1 2/m 1'
_space_group_IT_number 12
_cell_length_a 19.574
_cell_length_b 4.499
_cell_length_c 8.973
_cell_angle_alpha 90.00
_cell_angle_beta 103.17
_cell_angle_gamma 90.00
loop_
_space_group_symop_operation_xyz
'x,y,z'
'-x,-y,-z'
'-x,y,-z'
'x,-y,z'
'x+1/2,y+1/2,z'
'-x+1/2,-y+1/2,-z'
'-x+1/2,y+1/2,-z'
'x+1/2,-y+1/2,z'
loop_
_atom_site_label
_atom_site_fract_x
_atom_site_fract_y
_atom_site_fract_z
Nd1 0.000 0.000 0.000
Sm1 0.000 0.000 0.500
Sm2 0.166 0.500 0.834
Th1 0.165 0.500 0.331
Sb1 0.000 0.500 0.252
Sb2 0.167 0.000 0.584
Sb3 0.168 0.000 0.082

# Nd2SmTh3Sb6, relaxed, DFT GGA-PBE
# M_tot = 0.000 μB/atom
# density of states at the Fermi level = 12.30 states/eV per cell
# uncorrected formation energy = -1.06 eV/atom
data_Nd2SmTh3Sb6
_space_group_name_H-M_alt 'C 1 2/m 1'
_space_group_IT_number 12
_cell_length_a 19.649
_cell_length_b 4.510
_cell_length_c 8.999
_cell_angle_alpha 90.00
_cell_angle_beta 103.21
_cell_angle_gamma 90.00
loop_
_space_group_symop_operation_xyz
'x,y,z'
'-x,-y,-z'
'-x,y,-z'
'x,-y,z'
'x+1/2,y+1/2,z'
'-x+1/2,-y+1/2,-z'
'-x+1/2,y+1/2,-z'
'x+1/2,-y+1/2,z'
loop_
_atom_site_label
_atom_site_fract_x
_atom_site_fract_y
_atom_site_fract_z
Nd1 0.167 0.000 0.333
Sm1 0.000 0.500 0.000
Th1 0.000 0.500 0.500
Th2 0.167 0.000 0.833
Sb1 0.001 0.000 0.752
Sb2 0.166 0.500 0.082
Sb3 0.166 0.500 0.584

# Nd2SmUSb4, relaxed, DFT GGA-PBE
# M_tot = 0.338 μB/atom
# density of states at the Fermi level = 17.09 states/eV per cell
# uncorrected formation energy = -0.93 eV/atom
data_Nd2SmUSb4
_space_group_name_H-M_alt 'I -4 m 2'
_space_group_IT_number 119
_space_group_name_Hall 'I -4 -2'
_cell_length_a 6.327
_cell_length_b 6.327
_cell_length_c 12.652
_cell_angle_alpha 90.00
_cell_angle_beta 90.00
_cell_angle_gamma 90.00
loop_
_atom_site_label
_atom_site_fract_x
_atom_site_fract_y
_atom_site_fract_z
Nd1 0.000 0.000 0.000
Nd2 0.000 0.500 0.250
Sm1 0.000 0.500 0.750
U1 0.000 0.000 0.500
Sb1 0.000 0.000 0.255
Sb2 0.000 0.500 0.501